Record 1
# Bi2PbBrN (PBE-GGA, relaxed)
data_Bi2PbBrN
_chemical_formula_sum 'Bi2 Pb1 Br1 N1'
_cell_length_a 4.937
_cell_length_b 5.270
_cell_length_c 4.937
_cell_angle_alpha 90.00
_cell_angle_beta 90.00
_cell_angle_gamma 90.00
_symmetry_space_group_name_H-M 'P 1'
_symmetry_Int_Tables_number 1
_symmetry_space_group_name_Hall 'P 1'
loop_
_atom_site_label
_atom_site_fract_x
_atom_site_fract_y
_atom_site_fract_z
Br1 0.000 0.500 0.000
Bi1 0.500 0.000 0.000
Bi2 0.000 0.000 0.500
N1 0.000 0.000 0.000
Pb1 0.500 0.500 0.500
# Formation energy (no corrections): 55.9 kJ/mol of atoms
# DOS(E_F): 0.724 states/eV per atom
# Total magnetization: 0.00 μB per formula unit
# Calculated total energy: -3.714 eV per atom
# V: 25.70 Å³/atom
# Space group: P4/mmm, No. 123

---

Record 2
# Hf2TeBr (PBE-GGA, relaxed)
data_Hf2TeBr
_chemical_formula_sum 'Hf4 Te2 Br2'
_cell_length_a 4.796
_cell_length_b 4.796
_cell_length_c 9.713
_cell_angle_alpha 75.71
_cell_angle_beta 75.71
_cell_angle_gamma 90.00
_symmetry_space_group_name_H-M 'P 1'
_symmetry_Int_Tables_number 1
_symmetry_space_group_name_Hall 'P 1'
loop_
_atom_site_label
_atom_site_fract_x
_atom_site_fract_y
_atom_site_fract_z
Hf1 0.875 0.861 0.750
Hf2 0.611 0.125 0.250
Hf3 0.375 0.389 0.750
Hf4 0.139 0.625 0.250
Br1 0.250 0.750 0.500
Br2 0.500 0.500 0.000
Te1 0.750 0.250 0.500
Te2 0.000 0.000 0.000
# Formation energy (no corrections): 2.1 kJ/mol of atoms
# Excess energy over the best structure of this formula in the dataset: 5.951 kcal/mol of atoms
# DOS(E_F): 1.444 states/eV per atom
# Total magnetization: 0.00 μB per formula unit
# Calculated total energy: -6.158 eV per atom
# V: 26.17 Å³/atom
# Space group: I-42d, No. 122

---

Record 3
# LaTb6Th4 (PBE-GGA, relaxed)
data_LaTb6Th4
_chemical_formula_sum 'La1 Tb6 Th4'
_cell_length_a 3.457
_cell_length_b 5.905
_cell_length_c 18.248
_cell_angle_alpha 99.31
_cell_angle_beta 95.44
_cell_angle_gamma 90.00
_symmetry_space_group_name_H-M 'P 1'
_symmetry_Int_Tables_number 1
_symmetry_space_group_name_Hall 'P 1'
loop_
_atom_site_label
_atom_site_fract_x
_atom_site_fract_y
_atom_site_fract_z
Tb1 0.132 0.632 0.263
Tb2 0.233 0.733 0.465
Tb3 0.767 0.267 0.535
Tb4 0.597 0.097 0.195
Tb5 0.868 0.368 0.737
Tb6 0.403 0.903 0.805
Th1 0.455 0.455 0.911
Th2 0.817 0.817 0.634
Th3 0.545 0.545 0.089
Th4 0.183 0.183 0.366
La1 0.000 0.000 0.000
# DOS(E_F): 1.522 states/eV per atom
# Total magnetization: 0.00 μB per formula unit
# Calculated total energy: -5.497 eV per atom
# Calculated formation energy: 0.174 eV per atom
# V: 33.27 Å³/atom
# Space group: Immm, No. 71

---

Record 4
# PaHg2Pd (PBE-GGA, relaxed)
data_PaHg2Pd
_chemical_formula_sum 'Pa1 Hg2 Pd1'
_cell_length_a 3.117
_cell_length_b 3.117
_cell_length_c 11.028
_cell_angle_alpha 81.88
_cell_angle_beta 81.88
_cell_angle_gamma 60.00
_symmetry_space_group_name_H-M 'P 1'
_symmetry_Int_Tables_number 1
_symmetry_space_group_name_Hall 'P 1'
loop_
_atom_site_label
_atom_site_fract_x
_atom_site_fract_y
_atom_site_fract_z
Hg1 0.098 0.098 0.706
Hg2 0.902 0.902 0.294
Pa1 0.000 0.000 0.000
Pd1 0.500 0.500 0.500
# Excess energy over the best structure of this formula in the dataset: 6.552 kcal/mol of atoms
# DOS(E_F): 1.060 states/eV per atom
# Total magnetization: 0.69 μB per formula unit
# Calculated total energy: -3.621 eV per atom
# Calculated formation energy: 0.202 eV per atom
# V: 22.88 Å³/atom
# Space group: R-3m, No. 166